No. 1
A plane-wave DFT calculation with GGA-PBEsol was carried out for a geometry-optimized Ca3Cu5Si9O26 structure.

abc: 7.124 7.124 20.022
angles: 88.99 88.99 89.33
Each line ends with the local moment (μB).
Sites, in units of the cell vectors:
O 0.233 0.950 0.546  0.01
O 0.434 0.194 0.209  0.07
O 0.378 0.230 0.614  0.00
O 0.937 0.753 0.115  0.07
O 0.850 0.237 0.684  0.14
O 0.390 0.236 0.487  0.01
O 0.242 0.454 0.391  0.06
O 0.622 0.770 0.386  0.00
O 0.237 0.850 0.184  0.14
O 0.247 0.063 0.385  0.07
O 0.236 0.390 0.987  0.01
O 0.256 0.921 0.853  0.14
O 0.744 0.079 0.147  0.14
O 0.566 0.806 0.791  0.07
O 0.194 0.434 0.709  0.07
O 0.063 0.247 0.885  0.07
O 0.561 0.263 0.370  0.01
O 0.263 0.561 0.870  0.01
O 0.500 0.244 0.736  0.01
O 0.454 0.242 0.891  0.06
O 0.268 0.040 0.051  0.07
O 0.764 0.610 0.013  0.01
O 0.231 0.593 0.532  0.07
O 0.756 0.500 0.764  0.01
O 0.193 0.049 0.714  0.07
O 0.921 0.256 0.353  0.14
O 0.763 0.150 0.816  0.14
O 0.150 0.763 0.316  0.14
O 0.049 0.193 0.214  0.07
O 0.807 0.951 0.286  0.07
O 0.079 0.744 0.647  0.14
O 0.806 0.566 0.291  0.07
O 0.950 0.233 0.046  0.01
O 0.769 0.407 0.468  0.07
O 0.960 0.732 0.449  0.07
O 0.593 0.231 0.032  0.07
O 0.040 0.268 0.551  0.07
O 0.050 0.767 0.954  0.01
O 0.439 0.737 0.630  0.01
O 0.610 0.764 0.513  0.01
O 0.407 0.769 0.968  0.07
O 0.737 0.439 0.130  0.01
O 0.244 0.500 0.236  0.01
O 0.770 0.622 0.886  0.00
O 0.230 0.378 0.114  0.00
O 0.732 0.960 0.949  0.07
O 0.767 0.050 0.454  0.01
O 0.753 0.937 0.615  0.07
O 0.951 0.807 0.786  0.07
O 0.500 0.756 0.264  0.01
O 0.758 0.546 0.609  0.06
O 0.546 0.758 0.109  0.06
Ca 0.713 0.240 0.570  0.00
Ca 0.268 0.732 0.750  0.00
Ca 0.760 0.287 0.930  0.00
Ca 0.240 0.713 0.070  0.00
Ca 0.732 0.268 0.250  0.00
Ca 0.287 0.760 0.430  0.00
Si 0.305 0.240 0.694  0.00
Si 0.820 0.751 0.951  0.00
Si 0.744 0.653 0.095  0.01
Si 0.347 0.256 0.405  0.01
Si 0.249 0.758 0.912  0.01
Si 0.653 0.744 0.595  0.01
Si 0.256 0.347 0.905  0.01
Si 0.751 0.820 0.451  0.00
Si 0.751 0.242 0.088  0.01
Si 0.760 0.695 0.806  0.00
Si 0.720 0.280 0.750  0.01
Si 0.280 0.720 0.250  0.01
Si 0.242 0.751 0.588  0.01
Si 0.695 0.760 0.306  0.00
Si 0.180 0.249 0.049  0.00
Si 0.240 0.305 0.194  0.00
Si 0.758 0.249 0.412  0.01
Si 0.249 0.180 0.549  0.00
Cu 0.972 0.491 0.661  0.60
Cu 0.962 0.986 0.670  0.60
Cu 0.000 0.500 0.500  0.60
Cu 0.491 0.972 0.161  0.60
Cu 0.014 0.038 0.830  0.60
Cu 0.986 0.962 0.170  0.60
Cu 0.509 0.028 0.839  0.60
Cu 0.038 0.014 0.330  0.60
Cu 0.028 0.509 0.339  0.60
Cu 0.500 0.000 0.000  0.60

Values from the calculation:
- ΔE_f (raw): -2.33 eV per atom

***

No. 2
A plane-wave DFT calculation with GGA-PBEsol was carried out for a geometry-optimized CaCu2SnO structure.

abc: 4.055 5.026 5.026
angles: 90.00 90.00 90.00
Each line ends with the local moment (μB).
Sites, in units of the cell vectors:
Cu 0.000 0.000 0.500  0.00
Cu 0.000 0.500 0.000  0.00
Sn 0.500 0.500 0.500  0.00
O 0.500 0.000 0.000  0.12
Ca 0.000 0.000 0.000  0.01

Values from the calculation:
- ΔE_f (raw): 0.35 eV per atom

***

No. 3
A plane-wave DFT calculation with GGA-PBEsol was carried out for a geometry-optimized SrCa3Cu2O6 structure.

abc: 3.807 6.577 6.602
angles: 104.49 90.00 106.82
Sites, in units of the cell vectors:
Ca 0.149 0.298 0.822
Ca 0.851 0.702 0.675
Ca 0.147 0.295 0.327
O 0.003 0.005 0.992
O 0.660 0.320 0.580
O 0.655 0.311 0.078
O 0.340 0.679 0.431
O 0.004 0.007 0.510
O 0.340 0.680 0.908
Cu 0.501 0.002 0.510
Cu 0.499 0.998 0.990
Sr 0.852 0.703 0.176

Values from the calculation:
- ΔE_f (raw): -2.19 eV per atom

***

No. 4
A plane-wave DFT calculation with GGA-PBEsol was carried out for a geometry-optimized SrCa2CuO structure.

abc: 3.642 6.368 6.368
angles: 90.00 90.00 90.00
Sites, in units of the cell vectors:
O 0.500 0.000 0.000
Ca 0.000 0.000 0.500
Ca 0.000 0.500 0.000
Cu 0.000 0.000 0.000
Sr 0.500 0.500 0.500

Values from the calculation:
- ΔE_f (raw): -0.05 eV per atom

***

No. 5
A plane-wave DFT calculation with GGA-PBEsol was carried out for a geometry-optimized SrCaCuO3 structure.

abc: 3.367 3.855 6.644
angles: 106.86 104.67 90.00
Sites, in units of the cell vectors:
Ca 0.647 0.147 0.294
O 0.155 0.655 0.310
O 0.840 0.340 0.680
O 0.006 0.006 0.013
Cu 0.000 0.500 0.000
Sr 0.351 0.851 0.703

Values from the calculation:
- ΔE_f (raw): -2.16 eV per atom

***

No. 6
A plane-wave DFT calculation with GGA-PBEsol was carried out for a geometry-optimized Sr2CaTlCu2O7 structure.

abc: 3.720 3.720 12.097
angles: 90.00 90.00 90.00
Sites, in units of the cell vectors:
O 0.000 0.000 0.827
O 0.500 0.000 0.372
O 0.000 0.500 0.372
O 0.500 0.500 0.000
O 0.500 0.000 0.628
O 0.000 0.500 0.628
O 0.000 0.000 0.173
Sr 0.500 0.500 0.791
Sr 0.500 0.500 0.209
Cu 0.000 0.000 0.643
Cu 0.000 0.000 0.357
Tl 0.000 0.000 0.000
Ca 0.500 0.500 0.500

Values from the calculation:
- ΔE_f (raw): -1.71 eV per atom

***

No. 7
A plane-wave DFT calculation with GGA-PBEsol was carried out for a geometry-optimized CaTiCuO2 structure.

abc: 4.103 4.103 4.302
angles: 90.00 90.00 90.00
Each line ends with the local moment (μB).
Sites, in units of the cell vectors:
Ti 0.000 0.000 0.500  1.91
Cu 0.000 0.000 0.000  -0.01
O 0.000 0.500 0.000  -0.04
O 0.500 0.000 0.000  -0.04
Ca 0.500 0.500 0.500  0.20

Values from the calculation:
- ΔE_f (raw): 0.00 eV per atom

***

No. 8
A plane-wave DFT calculation with GGA-PBEsol was carried out for a geometry-optimized CaV2CuO7 structure.

abc: 8.794 10.091 10.147
angles: 91.63 90.00 90.00
Each line ends with the local moment (μB).
Sites, in units of the cell vectors:
Ca 0.065 0.500 0.750  0.00
Ca 0.554 0.822 0.933  0.00
Ca 0.554 0.178 0.567  0.00
Ca 0.935 0.500 0.250  0.00
Ca 0.446 0.178 0.067  0.00
Ca 0.446 0.822 0.433  0.00
O 0.773 0.173 0.715  0.07
O 0.642 0.692 0.558  0.01
O 0.216 0.193 0.956  0.07
O 0.421 0.579 0.377  0.06
O 0.216 0.807 0.544  0.07
O 0.125 0.508 0.099  0.01
O 0.773 0.827 0.785  0.07
O 0.073 0.730 0.783  0.06
O 0.623 0.047 0.925  0.00
O 0.145 0.000 0.750  0.01
O 0.227 0.173 0.215  0.07
O 0.911 0.154 0.967  0.07
O 0.579 0.579 0.877  0.06
O 0.855 0.000 0.250  0.01
O 0.623 0.953 0.575  0.00
O 0.227 0.827 0.285  0.07
O 0.421 0.421 0.123  0.06
O 0.358 0.308 0.442  0.01
O 0.579 0.421 0.623  0.06
O 0.125 0.492 0.401  0.01
O 0.625 0.190 0.230  0.01
O 0.714 0.521 0.124  0.08
O 0.375 0.190 0.730  0.01
O 0.911 0.846 0.533  0.07
O 0.286 0.479 0.876  0.08
O 0.073 0.270 0.717  0.06
O 0.784 0.807 0.044  0.07
O 0.377 0.047 0.425  0.00
O 0.784 0.193 0.456  0.07
O 0.625 0.810 0.270  0.01
O 0.642 0.308 0.942  0.01
O 0.875 0.508 0.599  0.01
O 0.714 0.479 0.376  0.08
O 0.375 0.810 0.770  0.01
O 0.089 0.846 0.033  0.07
O 0.927 0.730 0.283  0.06
O 0.875 0.492 0.901  0.01
O 0.377 0.953 0.075  0.00
O 0.089 0.154 0.467  0.07
O 0.927 0.270 0.217  0.06
O 0.358 0.692 0.058  0.01
O 0.286 0.521 0.624  0.08
Cu 0.066 0.195 0.090  0.57
Cu 0.066 0.805 0.410  0.57
Cu 0.557 0.500 0.250  0.57
Cu 0.934 0.805 0.910  0.57
Cu 0.934 0.195 0.590  0.57
Cu 0.443 0.500 0.750  0.57
V 0.798 0.165 0.288  0.05
V 0.702 0.524 0.541  0.03
V 0.253 0.164 0.383  0.06
V 0.253 0.836 0.117  0.06
V 0.298 0.476 0.459  0.03
V 0.798 0.835 0.212  0.05
V 0.747 0.836 0.617  0.06
V 0.202 0.835 0.712  0.05
V 0.298 0.524 0.041  0.03
V 0.747 0.164 0.883  0.06
V 0.202 0.165 0.788  0.05
V 0.702 0.476 0.959  0.03

Values from the calculation:
- ΔE_f (raw): -2.22 eV per atom

***

No. 9
A plane-wave DFT calculation with GGA-PBEsol was carried out for a geometry-optimized Ca2CuWO6 structure.

abc: 5.405 5.630 7.511
angles: 90.00 89.67 90.00
Each line ends with the local moment (μB).
Sites, in units of the cell vectors:
O 0.184 0.784 0.052  0.06
O 0.710 0.688 0.954  0.05
O 0.816 0.216 0.948  0.06
O 0.406 0.031 0.747  0.07
O 0.790 0.188 0.546  0.05
O 0.290 0.312 0.046  0.05
O 0.210 0.812 0.454  0.05
O 0.906 0.469 0.247  0.07
O 0.094 0.531 0.753  0.07
O 0.594 0.969 0.253  0.07
O 0.684 0.716 0.552  0.06
O 0.316 0.284 0.448  0.06
Ca 0.013 0.060 0.252  0.00
Ca 0.487 0.560 0.248  0.00
Ca 0.987 0.940 0.748  0.00
Ca 0.513 0.440 0.752  0.00
W 0.500 0.000 0.500  0.00
W 0.000 0.500 0.000  0.00
Cu 0.500 0.000 0.000  0.62
Cu 0.000 0.500 0.500  0.62

Values from the calculation:
- ΔE_f (raw): -2.28 eV per atom

***

No. 10
A plane-wave DFT calculation with GGA-PBEsol was carried out for a geometry-optimized CaCu2Os structure.

abc: 3.782 3.782 5.001
angles: 112.22 112.22 90.00
Sites, in units of the cell vectors:
Cu 0.750 0.250 0.500
Cu 0.000 0.000 0.000
Ca 0.250 0.750 0.500
Os 0.500 0.500 0.000

***

No. 11
A plane-wave DFT calculation with GGA-PBEsol was carried out for a geometry-optimized CaCuOs2 structure.

abc: 2.516 5.248 5.248
angles: 116.77 90.00 90.00
Sites, in units of the cell vectors:
Cu 0.500 0.500 0.500
Os 0.000 0.500 0.000
Os 0.000 0.000 0.500
Ca 0.500 0.000 0.000

***

No. 12
A plane-wave DFT calculation with GGA-PBEsol was carried out for a geometry-optimized CaCuOs2 structure.

abc: 4.418 4.418 4.418
angles: 60.00 60.00 60.00
Sites, in units of the cell vectors:
Ca 0.000 0.000 0.000
Os 0.750 0.750 0.750
Os 0.250 0.250 0.250
Cu 0.500 0.500 0.500

***

Taking the records one at a time from the top gives calculated total energy values of -7.3641 -3.7168 -6.2273 -3.1904 -6.1708 -5.8543 -5.0615 -7.8972 -7.6744 -5.1988 -6.9970 -6.5766 eV/atom.